#a
Here is crystalline LiPtPb2 at its relaxed geometry from Alexandria via LeMat-Bulk. Energies are from PBEsol.

Values from the calculation:
total magnetization: 0.000 μB per cell

a b c (Å): 3.3462 3.3462 7.4792
angles (deg): 90.00 90.00 90.00
Closest atoms and distances in Å follow each position.
Atoms (fractional coordinates):
Pb  0.5000  0.5000  0.3135  1 Li 2.88, 4 Pt 2.95
Pb  0.0000  0.0000  0.9385  1 Pt 2.91, 4 Li 2.97
Pt  0.0000  0.0000  0.5493  4 Li 2.62, 1 Pb 2.91
Li  0.5000  0.5000  0.6987  4 Pt 2.62, 1 Pb 2.88

---

#b
Here is crystalline LiPtPb2 at its relaxed geometry from Alexandria via LeMat-Bulk. Energies are from PBEsol.

Values from the calculation:
total magnetization: 0.000 μB per cell

a b c (Å): 3.8302 4.2762 5.4305
angles (deg): 90.00 110.65 90.00
Closest atoms and distances in Å follow each position.
Atoms (fractional coordinates):
Li  0.5517  0.5000  0.1034  2 Pt 2.58, 1 Pb 2.87
Pt  0.6945  0.0000  0.3891  2 Li 2.58, 2 Pb 2.87
Pb  0.9847  0.0000  0.9693  3 Pt 2.87-2.95, 4 Li 2.95
Pb  0.2697  0.5000  0.5394  3 Li 2.87-2.93, 4 Pt 2.97

---

#c
Here is crystalline LiPtPb2 at its relaxed geometry from Alexandria via LeMat-Bulk. Energies are from PBEsol.

Values from the calculation:
total magnetization: 0.000 μB per cell

a b c (Å): 3.5740 3.5740 8.5831
angles (deg): 77.98 77.98 60.00
Closest atoms and distances in Å follow each position.
Atoms (fractional coordinates):
Li  0.0000  0.0000  0.0000  6 Pb 3.09
Pb  0.2416  0.2416  0.2753  3 Pt 2.79, 3 Li 3.09
Pt  0.5000  0.5000  0.5000  6 Pb 2.79
Pb  0.7584  0.7584  0.7247  3 Pt 2.79, 3 Li 3.09

---

Which of them is the least stable? Correct choice: #c.

---

#a
Here is crystalline Li2Sb2Pb at its relaxed geometry from Alexandria via LeMat-Bulk. Energies are from PBEsol.

Values from the calculation:
total magnetization: 0.000 μB per cell

a b c (Å): 3.1515 8.5159 8.5159
angles (deg): 90.00 90.00 90.00
Closest atoms and distances in Å follow each position.
Atoms (fractional coordinates):
Li  0.0000  0.1168  0.3832  1 Li 2.81, 6 Sb 2.91-3.03
Sb  0.5000  0.8195  0.3195  6 Li 2.91-3.03, 2 Sb 3.15
Li  0.0000  0.6168  0.1168  1 Li 2.81, 6 Sb 2.91-3.03
Sb  0.5000  0.1805  0.6805  6 Li 2.91-3.03, 2 Sb 3.15
Pb  0.0000  0.0000  0.0000  2 Pb 3.15, 4 Li 3.41, 8 Sb 3.50
Sb  0.5000  0.6805  0.8195  6 Li 2.91-3.03, 2 Sb 3.15
Sb  0.5000  0.3195  0.1805  6 Li 2.91-3.03, 2 Sb 3.15
Li  0.0000  0.3832  0.8832  1 Li 2.81, 6 Sb 2.91-3.03
Li  0.0000  0.8832  0.6168  1 Li 2.81, 6 Sb 2.91-3.03
Pb  0.0000  0.5000  0.5000  2 Pb 3.15, 4 Li 3.41, 8 Sb 3.50

---

#b
Here is crystalline Li2Sb2Pb at its relaxed geometry from Alexandria via LeMat-Bulk. Energies are from PBEsol.

Values from the calculation:
total magnetization: 0.000 μB per cell

a b c (Å): 4.5548 4.5548 6.6265
angles (deg): 110.10 110.10 90.00
Closest atoms and distances in Å follow each position.
Atoms (fractional coordinates):
Li  0.2500  0.7500  0.5000  4 Sb 2.73
Sb  0.3797  0.3797  0.7595  4 Li 2.73, 1 Sb 2.79
Sb  0.6203  0.6203  0.2405  4 Li 2.73, 1 Sb 2.79
Pb  0.0000  0.0000  0.0000  8 Sb 3.51, 8 Li 3.68
Li  0.7500  0.2500  0.5000  4 Sb 2.73

---

Which of them is the least stable? Correct choice: #b.

---

#a
Here is crystalline LiScPb2 at its relaxed geometry from Alexandria via LeMat-Bulk. Energies are from PBEsol.

Values from the calculation:
total magnetization: 0.000 μB per cell

a b c (Å): 3.3729 5.2443 5.2443
angles (deg): 96.40 90.00 90.00
Closest atoms and distances in Å follow each position.
Atoms (fractional coordinates):
Sc  0.5000  0.0000  0.0000  8 Pb 3.12, 2 Sc 3.37
Li  0.5000  0.5000  0.5000  8 Pb 3.12, 2 Li 3.37
Pb  0.0000  0.0000  0.5000  4 Li 3.12, 4 Sc 3.12, 2 Pb 3.37
Pb  0.0000  0.5000  0.0000  4 Sc 3.12, 4 Li 3.12, 2 Pb 3.37

---

#b
Here is crystalline LiScPb2 at its relaxed geometry from Alexandria via LeMat-Bulk. Energies are from PBEsol.

Values from the calculation:
total magnetization: 0.000 μB per cell

a b c (Å): 5.0851 5.0851 5.0851
angles (deg): 60.00 60.00 60.00
Closest atoms and distances in Å follow each position.
Atoms (fractional coordinates):
Li  0.0000  0.0000  0.0000  8 Pb 3.11
Pb  0.7500  0.7500  0.7500  4 Li 3.11, 4 Sc 3.11
Pb  0.2500  0.2500  0.2500  4 Li 3.11, 4 Sc 3.11
Sc  0.5000  0.5000  0.5000  8 Pb 3.11

---

Which of them is the least stable? Correct choice: #b.

---

#a
Here is crystalline Li2TlPb at its relaxed geometry from Alexandria via LeMat-Bulk. Energies are from PBEsol.

Values from the calculation:
total magnetization: 0.000 μB per cell

a b c (Å): 6.2866 6.2866 6.2866
angles (deg): 104.61 104.61 119.71
Closest atoms and distances in Å follow each position.
Atoms (fractional coordinates):
Pb  0.0000  0.0000  0.0000  4 Li 2.86, 2 Tl 3.16
Li  0.3810  0.3750  0.5060  2 Tl 2.80, 2 Pb 2.86
Li  0.6250  0.1310  0.0060  2 Tl 2.80, 2 Pb 2.86
Tl  0.7500  0.2500  0.5000  4 Li 2.80
Li  0.1250  0.6190  0.9940  2 Tl 2.80, 2 Pb 2.86
Pb  0.2500  0.7500  0.5000  4 Li 2.86, 2 Tl 3.16
Tl  0.5000  0.5000  0.0000  4 Li 2.80
Li  0.8690  0.8750  0.4940  2 Tl 2.80, 2 Pb 2.86

---

#b
Here is crystalline Li2TlPb at its relaxed geometry from Alexandria via LeMat-Bulk. Energies are from PBEsol.

Values from the calculation:
total magnetization: 0.000 μB per cell

a b c (Å): 3.8167 3.8167 6.0318
angles (deg): 90.00 90.00 90.00
Closest atoms and distances in Å follow each position.
Atoms (fractional coordinates):
Li  0.0000  0.0000  0.9861  2 Pb 2.97-3.06, 4 Tl 2.97, 4 Li 3.15
Li  0.5000  0.5000  0.2556  2 Tl 2.87-3.16, 4 Pb 3.01, 4 Li 3.15
Tl  0.5000  0.5000  0.7798  6 Li 2.87-3.16
Pb  0.0000  0.0000  0.4784  6 Li 2.97-3.06, 4 Tl 3.25

---

#c
Here is crystalline Li2TlPb at its relaxed geometry from Alexandria via LeMat-Bulk. Energies are from PBEsol.

Values from the calculation:
total magnetization: 0.000 μB per cell

a b c (Å): 3.4556 4.8912 5.5368
angles (deg): 102.67 108.18 90.00
Closest atoms and distances in Å follow each position.
Atoms (fractional coordinates):
Li  0.0004  0.9628  0.0008  4 Pb 2.98-3.01, 3 Tl 3.00-3.02, 2 Li 3.22
Pb  0.4925  0.4552  0.9849  7 Li 2.98-3.05, 1 Tl 3.29
Tl  0.2587  0.7998  0.5175  7 Li 2.95-3.05, 1 Pb 3.29
Li  0.7484  0.2822  0.4968  4 Tl 2.95-3.05, 3 Pb 3.00-3.05, 2 Li 3.22

---

Which of them is the least stable? Correct choice: #a.

---

#a
Here is crystalline Li2TlPb at its relaxed geometry from Alexandria via LeMat-Bulk. Energies are from PBEsol.

Values from the calculation:
total magnetization: 0.000 μB per cell

a b c (Å): 4.3548 4.3548 5.5613
angles (deg): 113.05 113.05 90.00
Closest atoms and distances in Å follow each position.
Atoms (fractional coordinates):
Li  0.7500  0.2500  0.5000  4 Tl 3.08, 4 Pb 3.18, 4 Li 3.18
Pb  0.5000  0.5000  0.0000  8 Li 3.08-3.18, 4 Tl 3.18
Tl  0.2500  0.7500  0.5000  8 Li 3.08-3.18, 4 Pb 3.18
Li  0.0000  0.0000  0.0000  4 Pb 3.08, 4 Tl 3.18, 4 Li 3.18

---

#b
Here is crystalline Li2TlPb at its relaxed geometry from Alexandria via LeMat-Bulk. Energies are from PBEsol.

Values from the calculation:
total magnetization: 0.000 μB per cell

a b c (Å): 3.7236 4.6472 5.8406
angles (deg): 113.44 108.59 90.00
Closest atoms and distances in Å follow each position.
Atoms (fractional coordinates):
Pb  0.4972  0.4972  0.9944  6 Li 2.98-3.15, 2 Tl 3.22
Li  0.9999  0.9999  0.9998  4 Pb 2.98, 2 Tl 3.06, 2 Li 3.08
Tl  0.2586  0.7586  0.5171  6 Li 2.98-3.06, 2 Pb 3.22
Li  0.7444  0.2444  0.4889  4 Tl 2.98, 2 Li 3.08, 2 Pb 3.15

---

#c
Here is crystalline Li2TlPb at its relaxed geometry from Alexandria via LeMat-Bulk. Energies are from PBEsol.

Values from the calculation:
total magnetization: 0.000 μB per cell

a b c (Å): 3.3591 3.6345 6.8338
angles (deg): 90.00 90.00 90.00
Closest atoms and distances in Å follow each position.
Atoms (fractional coordinates):
Pb  0.5000  0.5000  0.0000  8 Li 3.03, 2 Pb 3.36
Li  0.0000  0.0000  0.2554  4 Tl 2.99, 4 Pb 3.03, 1 Li 3.34
Tl  0.5000  0.5000  0.5000  8 Li 2.99
Li  0.0000  0.0000  0.7446  4 Tl 2.99, 4 Pb 3.03, 1 Li 3.34

---

#d
Here is crystalline Li2TlPb at its relaxed geometry from Alexandria via LeMat-Bulk. Energies are from PBEsol.

Values from the calculation:
total magnetization: 0.000 μB per cell

a b c (Å): 3.3329 3.3329 9.5344
angles (deg): 79.93 79.93 60.00
Closest atoms and distances in Å follow each position.
Atoms (fractional coordinates):
Pb  0.5000  0.5000  0.5000  6 Li 3.02, 6 Pb 3.33
Tl  0.0000  0.0000  0.0000  6 Li 3.03, 6 Tl 3.33
Li  0.7501  0.7501  0.7498  3 Pb 3.02, 3 Tl 3.03, 6 Li 3.33
Li  0.2499  0.2499  0.2502  3 Pb 3.02, 3 Tl 3.03, 6 Li 3.33

---

Which of them is the least stable? Correct choice: #d.

---

#a
Here is crystalline Li2TlPb at its relaxed geometry from Alexandria via LeMat-Bulk. Energies are from PBEsol.

Values from the calculation:
total magnetization: 0.000 μB per cell

a b c (Å): 4.8943 4.8943 4.8943
angles (deg): 60.00 60.00 60.00
Closest atoms and distances in Å follow each position.
Atoms (fractional coordinates):
Li  0.7500  0.7500  0.7500  4 Tl 3.00, 4 Pb 3.00
Tl  0.5000  0.5000  0.5000  8 Li 3.00
Pb  0.0000  0.0000  0.0000  8 Li 3.00
Li  0.2500  0.2500  0.2500  4 Tl 3.00, 4 Pb 3.00

---

#b
Here is crystalline Li2TlPb at its relaxed geometry from Alexandria via LeMat-Bulk. Energies are from PBEsol.

Values from the calculation:
total magnetization: 0.000 μB per cell

a b c (Å): 3.6947 3.9616 6.0043
angles (deg): 90.00 90.00 90.00
Closest atoms and distances in Å follow each position.
Atoms (fractional coordinates):
Li  0.5000  0.5000  0.2571  2 Tl 2.88-3.13, 4 Pb 3.02, 4 Li 3.16
Tl  0.5000  0.5000  0.7782  6 Li 2.88-3.13
Li  0.0000  0.0000  0.9859  2 Pb 2.96-3.05, 4 Tl 2.98, 4 Li 3.16
Pb  0.0000  0.0000  0.4787  6 Li 2.96-3.05, 4 Tl 3.25

---

Which of them is the least stable? Correct choice: #b.